[1]
4
Lattice="0.000 3.420 3.420 3.420 0.000 3.420 3.420 3.420 0.000" Properties=species:S:1:pos:R:3 comment="Zr2TlF | Alexandria | GGA-PBE | optimized geometry" formation_energy_uncorrected_mev_per_atom=-492 energy_ev_per_fu=-23.30 dos_ef_per_ev_cell=3.11 pbc="T T T"
Zr 1.710 1.710 1.710
Zr 5.130 5.130 5.130
Tl 0.000 0.000 0.000
F 3.420 3.420 3.420

***

[2]
10
Lattice="-3.469 3.469 5.926 3.469 -3.469 5.926 3.469 3.469 -5.926" Properties=species:S:1:pos:R:3 comment="Cs2MoCCl6 | Alexandria | GGA-PBE | optimized geometry" formation_energy_uncorrected_mev_per_atom=-587 energy_ev_per_fu=-38.72 dos_ef_per_ev_cell=6.71 pbc="T T T"
Cs 3.469 0.000 2.963
Cs 0.000 3.469 2.963
Mo 0.000 0.000 0.000
C 0.000 0.000 5.926
Cl 0.000 0.000 2.441
Cl 1.767 1.767 0.000
Cl 1.702 -1.702 5.926
Cl -1.702 1.702 5.926
Cl 1.702 1.702 5.926
Cl 0.000 0.000 9.411

***

[3]
4
Lattice="1.542 0.890 8.462 -1.542 0.890 8.462 0.000 -1.780 8.462" Properties=species:S:1:pos:R:3 comment="ZrAs2Os | Alexandria | GGA-PBE | optimized geometry" formation_enthalpy_0k_kj_per_mol_atoms=3.4 energy_ev_per_fu=-28.94 dos_ef_per_ev_cell=2.81 pbc="T T T"
Zr 0.000 0.000 0.000
As 0.000 0.000 6.093
As 0.000 0.000 19.292
Os 0.000 0.000 12.692

***

[4]
5
Lattice="4.585 0.000 0.000 0.000 4.585 0.000 0.000 0.000 4.702" Properties=species:S:1:pos:R:3 comment="CrNi2PPt | Alexandria | GGA-PBE | optimized geometry" formation_enthalpy_0k_kj_per_mol_atoms=121.6 energy_ev_per_fu=-26.34 dos_ef_per_ev_cell=9.41 pbc="T T T"
Cr 0.000 0.000 0.000
Ni 0.000 2.292 2.351
Ni 2.292 0.000 2.351
P 2.292 2.292 0.000
Pt 0.000 0.000 2.351

***

[5]
20
Lattice="-6.800 7.469 3.628 6.800 -7.469 3.628 6.800 7.469 -3.628" Properties=species:S:1:pos:R:3 comment="Rb2Hg3Bi5 | Alexandria | GGA-PBE | optimized geometry" formation_enthalpy_0k_kj_per_mol_atoms=-15.1 energy_ev_per_fu=-23.82 dos_ef_per_ev_cell=7.58 pbc="T T T"
Rb 3.183 1.907 0.000
Rb 3.183 -1.907 3.628
Rb 3.617 9.376 0.000
Rb 3.617 5.562 3.628
Hg 8.898 1.599 0.000
Hg 0.000 0.000 1.814
Hg 2.098 5.870 0.000
Hg 4.703 1.599 3.628
Hg 0.000 0.000 5.442
Hg -2.098 5.870 3.628
Bi 6.800 -3.419 1.814
Bi 5.130 -5.481 3.628
Bi 6.800 0.000 1.814
Bi 5.130 5.481 0.000
Bi 6.800 3.419 1.814
Bi 0.000 4.049 1.814
Bi 1.670 1.988 3.628
Bi 0.000 7.469 1.814
Bi 1.670 12.950 0.000
Bi 0.000 10.888 1.814

***

[6]
15
Lattice="4.047 2.337 6.492 -4.047 2.337 6.492 0.000 -4.673 6.492" Properties=species:S:1:pos:R:3 comment="Li3Ho3SbSe8 | Alexandria | GGA-PBE | optimized geometry" formation_energy_uncorrected_mev_per_atom=-1379 energy_ev_per_fu=-72.16 dos_ef_per_ev_cell=1.77 pbc="T T T"
Li -2.024 -1.168 6.492
Li -2.024 1.168 12.984
Li 0.000 2.337 6.492
Ho -4.047 0.000 9.738
Ho -2.024 1.168 3.246
Ho 2.024 1.168 3.246
Sb 0.000 0.000 9.738
Se 0.000 0.000 4.878
Se 0.000 -2.281 8.124
Se -1.976 1.141 8.124
Se -1.976 -1.141 11.352
Se 1.976 1.141 8.124
Se 1.976 -1.141 11.352
Se 0.000 2.281 11.352
Se 0.000 0.000 14.599